Zn3Cd (PBE, relaxed); symmetry = Fm-3m (225); formation enthalpy at 0 K = 135 meV/atom; VASP energy = -1.05 eV/atom
1.0
4.637 0.000 0.000
2.318 4.016 0.000
2.318 1.339 3.786
Zn Cd
3 1
Cartesian
6.955 4.016 2.839 Zn
4.637 2.677 1.893 Zn
2.318 1.339 0.946 Zn
0.000 0.000 0.000 Cd